Here is a relaxed structure of Li4CoGe2Au from OQMD. Energies are from PBE.

Calculated values
As for the total DFT energy (no corrections): -0.1385 hartree per atom. As for the theoretical density: 6.6 g cm⁻³.

abc: 4.1994 4.1994 6.1102
angles: 90.00 90.00 90.00
Closest atoms and distances in Å follow each position.
Sites, in units of the cell vectors:
Li1 0.0000 0.5000 0.2591  4 Li 2.56-2.63, 2 Co 2.56, 2 Au 2.63, 1 Ge 2.75
Li2 0.5000 0.5000 0.0000  4 Li 2.63, 4 Ge 2.75
Li3 0.0000 0.0000 0.5000  4 Ge 2.46, 4 Li 2.56
Li4 0.5000 0.0000 0.7409  4 Li 2.56-2.63, 2 Co 2.56, 2 Au 2.63, 1 Ge 2.75
Co1 0.5000 0.5000 0.5000  4 Ge 2.46, 4 Li 2.56
Ge1 0.5000 0.0000 0.2909  5 Li 2.46-2.75, 2 Co 2.46, 2 Au 2.75
Ge2 0.0000 0.5000 0.7091  5 Li 2.46-2.75, 2 Co 2.46, 2 Au 2.75
Au1 0.0000 0.0000 0.0000  4 Li 2.63, 4 Ge 2.75